Entry 1:
Computed, not measured: an optimized crystal structure of CsIn2GaTc at the PBE level of DFT.

Geometry as extended XYZ:
```
5
Lattice="-0.996 4.758 2.250 -4.363 0.534 -3.061 -2.772 -2.262 3.556" Properties=species:S:1:pos:R:3 pbc="T T T"
Ga -1.386 -1.131 1.778
In -0.498 2.379 1.125
Tc 0.000 0.000 0.000
Cs -4.066 1.515 1.372
In -2.181 0.267 -1.531
```

## Properties
spin magnetization: 0.000 μB per cell
raw total energy: -19.7 eV per formula unit
Fermi-level density of states: 0.78 states/eV/atom
calculated volume: 144.7 Å³/f.u.

Entry 2:
Computed, not measured: an optimized crystal structure of CuAg2Pt at the PBE level of DFT.

Geometry as extended XYZ:
```
4
Lattice="5.394 0.004 0.000 2.550 4.753 0.000 -3.361 -3.399 2.498" Properties=species:S:1:pos:R:3 pbc="T T T"
Ag 2.887 -0.578 1.249
Pt 1.716 1.947 1.249
Cu 3.929 2.353 0.000
Ag 0.024 0.014 0.000
```

## Properties
spin magnetization: 0.000 μB per cell
distance to the lowest polymorph of the same formula: 65 meV/atom
Fermi-level density of states: 0.27 states/eV/atom
calculated volume: 64.0 Å³/f.u.

Entry 3:
Computed, not measured: an optimized crystal structure of TlNiH2 at the PBE level of DFT.

Geometry as extended XYZ:
```
8
Lattice="5.283 0.000 0.000 0.000 5.283 0.000 2.641 2.641 3.606" Properties=species:S:1:pos:R:3 pbc="T T T"
H 3.962 5.291 2.704
Ni 2.641 2.641 0.000
H 2.633 1.321 0.901
H 2.650 3.962 0.901
Tl 5.283 2.641 1.803
Tl 0.000 0.000 0.000
Ni 2.641 5.283 1.803
H 6.604 5.275 2.704
```

## Properties
spin magnetization: 0.000 μB per cell
distance to the lowest polymorph of the same formula: 0 meV/atom
Fermi-level density of states: 0.32 states/eV/atom
calculated volume: 50.3 Å³/f.u.

Entry 4:
Computed, not measured: an optimized crystal structure of Nd3SmTm8 at the PBE level of DFT.

Geometry as extended XYZ:
```
12
Lattice="-2.232 5.321 -6.403 6.806 -3.701 -3.777 -3.252 -7.095 3.656" Properties=species:S:1:pos:R:3 pbc="T T T"
Tm 3.450 -7.822 -1.836
Tm 1.560 -5.434 -3.306
Nd 1.777 -5.398 -0.061
Tm -2.974 -0.927 -4.588
Tm -2.128 2.346 -4.688
Sm 0.000 0.000 0.000
Tm 4.295 -4.547 -1.936
Tm -0.237 -0.043 -3.217
Tm -0.349 -3.056 -4.749
Nd -1.857 -3.577 -1.404
Tm 1.672 -2.419 -1.775
Nd 3.179 -1.898 -5.120
```

## Properties
spin magnetization: 0.000 μB per cell
raw total energy: -51.3 eV per formula unit
Fermi-level density of states: 1.41 states/eV/atom
calculated volume: 409.3 Å³/f.u.

Entry 5:
Computed, not measured: an optimized crystal structure of Rb2SrHg8 at the PBE level of DFT.

Geometry as extended XYZ:
```
11
Lattice="-4.920 3.202 -2.324 -4.246 -5.393 -0.942 1.571 2.109 9.406" Properties=species:S:1:pos:R:3 pbc="T T T"
Rb -5.716 -0.714 1.292
Hg -3.865 -2.110 4.023
Rb -1.879 0.633 4.848
Hg -3.730 2.029 2.116
Hg -3.680 -4.216 1.272
Sr -2.460 1.601 -1.162
Hg -3.617 -2.202 -1.114
Hg -5.549 0.012 -2.152
Hg -3.915 4.135 4.868
Hg -1.993 -0.696 1.466
Hg -5.602 0.615 4.673
```

## Properties
spin magnetization: 0.000 μB per cell
raw total energy: -8.5 eV per formula unit
Fermi-level density of states: 0.53 states/eV/atom
calculated volume: 364.0 Å³/f.u.

Entry 6:
Computed, not measured: an optimized crystal structure of CaSn2HS at the PBE level of DFT.

Geometry as extended XYZ:
```
5
Lattice="5.962 0.000 0.000 0.000 3.828 0.000 0.000 0.000 5.962" Properties=species:S:1:pos:R:3 pbc="T T T"
H 0.000 1.914 0.000
S 2.981 1.914 2.981
Sn 0.000 0.000 2.981
Sn 2.981 0.000 0.000
Ca 0.000 0.000 0.000
```

## Properties
spin magnetization: 0.017 μB per cell
raw total energy: -15.1 eV per formula unit
Fermi-level density of states: 1.27 states/eV/atom
calculated volume: 136.1 Å³/f.u.

Entry 7:
Computed, not measured: an optimized crystal structure of Rb3La2NdTe6 at the PBE level of DFT.

Geometry as extended XYZ:
```
12
Lattice="8.161 -0.001 0.000 -4.080 7.068 0.000 -1.361 -2.356 8.554" Properties=species:S:1:pos:R:3 pbc="T T T"
Nd 0.000 0.000 0.000
La 4.080 2.356 0.000
Te -0.015 -0.026 6.791
Rb 5.432 0.004 4.277
Rb -2.711 4.707 4.277
Te 2.691 -0.001 1.760
Te 0.029 4.712 6.794
Te -1.346 2.331 1.760
La 0.002 4.711 0.000
Te 2.736 4.737 1.763
Te 4.067 2.380 6.794
Rb 1.360 2.355 4.277
```

## Properties
spin magnetization: 0.000 μB per cell
formation energy from raw total energies: -17.6 eV per formula unit
Fermi-level density of states: 0.00 states/eV/atom
calculated volume: 493.4 Å³/f.u.

Entry 8:
Computed, not measured: an optimized crystal structure of Cs2BeS at the PBE level of DFT.

Geometry as extended XYZ:
```
8
Lattice="9.890 0.000 0.000 0.000 9.890 0.000 4.945 4.945 3.743" Properties=species:S:1:pos:R:3 pbc="T T T"
S 0.000 0.000 0.000
S 9.890 4.945 1.871
Cs 7.417 6.870 2.807
Cs 12.362 12.909 2.807
Cs 1.925 7.417 0.936
Be 4.945 9.890 1.871
Be 4.945 4.945 0.000
Cs 7.965 2.472 0.936
```

## Properties
spin magnetization: 0.000 μB per cell
formation energy from raw total energies: 1.0 eV per formula unit
distance to the lowest polymorph of the same formula: 133 meV/atom
Fermi-level density of states: 0.00 states/eV/atom
calculated volume: 183.0 Å³/f.u.